[1]
{"formula": "Er6AlSe3S2", "functional": "PBE-GGA", "state": "relaxed", "n_ef_per_ev_cell": 4.85, "formation_energy_uncorrected_ev_per_atom": -1.543, "lattice_angstrom": [[3.9093, 0.0000, 0.0000], [0.0000, 8.2233, 0.2244], [-1.9547, -2.4411, 8.4874]], "species": ["Er", "Er", "Er", "Er", "Er", "Er", "Se", "Se", "Se", "S", "S", "Al"], "frac_coords": [[0.3287, 0.4297, 0.6574], [0.3350, 0.9046, 0.6700], [0.0041, 0.2523, 0.0083], [0.9959, 0.7477, 0.9917], [0.6650, 0.0954, 0.3300], [0.6713, 0.5703, 0.3426], [0.5000, 0.5000, 0.0000], [0.8321, 0.1713, 0.6642], [0.1679, 0.8287, 0.3358], [0.1692, 0.3367, 0.3385], [0.8308, 0.6633, 0.6615], [0.5000, 0.0000, 0.0000]]}

---

[2]
{"formula": "InPt2Br", "functional": "PBE-GGA", "state": "relaxed", "relative_energy_mev_per_atom": 317.8, "n_ef_per_ev_cell": 2.54, "formation_energy_uncorrected_ev_per_atom": 0.185, "lattice_angstrom": [[-2.4597, 0.8117, -1.6331], [-2.7760, -4.3953, 1.9964], [-1.4880, 2.5286, 3.4980]], "species": ["Pt", "Pt", "Br", "In"], "frac_coords": [[0.0000, 0.0000, 0.0000], [0.5000, 0.5000, 0.0000], [0.5000, 0.0000, 0.5000], [0.0000, 0.5000, 0.5000]]}

---

[3]
{"formula": "Ba4AsPt", "functional": "PBE-GGA", "state": "relaxed", "relative_energy_mev_per_atom": 1063.7, "n_ef_per_ev_cell": 4.47, "lattice_angstrom": [[0.0000, 4.8162, 4.8162], [4.8162, 0.0000, 4.8162], [4.8162, 4.8162, 0.0000]], "species": ["Ba", "Ba", "Ba", "Ba", "As", "Pt"], "frac_coords": [[0.8752, 0.3749, 0.3749], [0.3749, 0.3749, 0.3749], [0.3749, 0.3749, 0.8752], [0.3749, 0.8752, 0.3749], [0.0000, 0.0000, 0.0000], [0.7500, 0.7500, 0.7500]]}

---

[4]
{"formula": "PmPaZnCu", "functional": "PBE-GGA", "state": "relaxed", "n_ef_per_ev_cell": 7.38, "e_tot_ev_per_atom": -4.814, "lattice_angstrom": [[-1.4723, 3.5173, 3.2549], [-0.7394, -1.1909, 4.8133], [3.1756, 1.6556, 3.5082]], "species": ["Pa", "Zn", "Pm", "Cu"], "frac_coords": [[0.2500, 0.2500, 0.2500], [0.5000, 0.5000, 0.5000], [0.7500, 0.7500, 0.7500], [0.0000, 0.0000, 0.0000]]}

---

[5]
{"formula": "LiAsRuBr2", "functional": "PBE-GGA", "state": "relaxed", "relative_energy_mev_per_atom": 0.0, "n_ef_per_ev_cell": 4.83, "formation_energy_uncorrected_ev_per_atom": -0.084, "lattice_angstrom": [[5.3537, 0.0000, 0.0000], [0.0000, 5.3537, 0.0000], [0.0000, 0.0000, 4.6051]], "species": ["Ru", "Li", "Br", "Br", "As"], "frac_coords": [[0.0000, 0.0000, 0.0000], [0.5000, 0.5000, 0.5000], [0.5000, 0.0000, 0.0000], [0.0000, 0.5000, 0.0000], [0.0000, 0.0000, 0.5000]]}

---

[6]
{"formula": "Sr2YNi", "functional": "PBE-GGA", "state": "relaxed", "relative_energy_mev_per_atom": 3.8, "n_ef_per_ev_cell": 4.06, "lattice_angstrom": [[-0.0376, -3.5878, -0.6744], [1.6778, -0.6160, 3.1834], [-8.8728, -0.7585, 4.5296]], "species": ["Y", "Sr", "Sr", "Ni"], "frac_coords": [[0.0000, 0.0000, 0.5860], [0.0000, 0.0000, 0.9215], [0.5000, 0.5000, 0.2782], [0.5000, 0.5000, 0.7143]]}

---

[7]
{"formula": "ScCu2Pd3", "functional": "PBE-GGA", "state": "relaxed", "relative_energy_mev_per_atom": 0.0, "n_ef_per_ev_cell": 4.15, "lattice_angstrom": [[-3.5674, -1.5963, -2.2420], [0.7419, -7.0244, -0.7065], [-2.8658, -0.8200, 5.1439]], "species": ["Pd", "Pd", "Pd", "Pd", "Pd", "Pd", "Cu", "Cu", "Cu", "Cu", "Sc", "Sc"], "frac_coords": [[0.1648, 0.6705, 0.7419], [0.5000, 0.0000, 0.2657], [0.8352, 0.3295, 0.7419], [0.5000, 0.0000, 0.7343], [0.8352, 0.3295, 0.2581], [0.1648, 0.6705, 0.2581], [0.0000, 0.0000, 0.0000], [0.3289, 0.3422, 0.5000], [0.0000, 0.0000, 0.5000], [0.6711, 0.6578, 0.5000], [0.6593, 0.6813, 0.0000], [0.3407, 0.3187, 0.0000]]}

---

[8]
{"formula": "MnSi2Pb", "functional": "PBE-GGA", "state": "relaxed", "n_ef_per_ev_cell": 2.84, "formation_energy_uncorrected_ev_per_atom": 0.378, "lattice_angstrom": [[-1.7143, -0.8665, 4.1477], [-4.0460, -0.9943, -1.8799], [-0.6528, -8.6753, 0.4366]], "species": ["Mn", "Mn", "Pb", "Pb", "Si", "Si", "Si", "Si"], "frac_coords": [[0.2500, 0.7500, 0.5000], [0.5000, 0.5000, 0.0000], [0.0000, 0.0000, 0.0000], [0.7500, 0.2500, 0.5000], [0.3750, 0.5195, 0.7500], [0.4805, 0.1250, 0.2500], [0.8750, 0.7305, 0.7500], [0.2695, 0.6250, 0.2500]]}

---

[9]
{"formula": "Ta6Co3N", "functional": "PBE-GGA", "state": "relaxed", "n_ef_per_ev_cell": 15.81, "formation_energy_uncorrected_ev_per_atom": -0.236, "lattice_angstrom": [[5.3470, 0.0000, 0.1652], [0.0000, 6.6871, 0.0000], [0.3205, 0.0000, 8.3486]], "species": ["Ta", "Ta", "Ta", "Ta", "Ta", "Ta", "Ta", "Ta", "Ta", "Ta", "Ta", "Ta", "N", "N", "Co", "Co", "Co", "Co", "Co", "Co"], "frac_coords": [[0.6296, 0.2038, 0.5588], [0.8489, 0.6503, 0.5650], [0.6632, 0.4607, 0.2595], [0.3704, 0.7962, 0.4412], [0.1296, 0.2962, 0.0588], [0.3489, 0.8497, 0.0650], [0.8704, 0.7038, 0.9412], [0.8368, 0.9607, 0.2405], [0.1632, 0.0393, 0.7595], [0.1511, 0.3497, 0.4350], [0.3368, 0.5393, 0.7405], [0.6511, 0.1503, 0.9350], [0.5000, 0.5000, 0.5000], [0.0000, 0.0000, 0.0000], [0.4050, 0.1092, 0.2775], [0.0000, 0.0000, 0.5000], [0.9050, 0.3908, 0.7775], [0.5950, 0.8908, 0.7225], [0.5000, 0.5000, 0.0000], [0.0950, 0.6092, 0.2225]]}

---

[10]
{"formula": "BaHg2Te", "functional": "PBE-GGA", "state": "relaxed", "formation_energy_uncorrected_ev_per_atom": -0.740, "lattice_angstrom": [[-3.6161, -3.8584, -2.8529], [1.9705, -5.1116, 2.4679], [-1.9234, 4.8706, 2.9462]], "species": ["Te", "Ba", "Hg", "Hg"], "frac_coords": [[0.4963, 0.4963, 0.0000], [0.7514, 0.2514, 0.5000], [0.0080, 0.0080, 0.0000], [0.2443, 0.7443, 0.5000]]}

---

[11]
{"formula": "Na2SrMgCu", "functional": "PBE-GGA", "state": "relaxed", "relative_energy_mev_per_atom": 152.6, "n_ef_per_ev_cell": 3.26, "lattice_angstrom": [[5.6776, 0.0000, 0.0000], [0.0000, 5.0805, 0.0000], [0.0000, 0.0000, 5.6776]], "species": ["Cu", "Na", "Na", "Sr", "Mg"], "frac_coords": [[0.0000, 0.5000, 0.0000], [0.0000, 0.0000, 0.5000], [0.5000, 0.0000, 0.0000], [0.5000, 0.5000, 0.5000], [0.0000, 0.0000, 0.0000]]}

---

[12]
{"formula": "Cs3Hg6Bi5", "functional": "PBE-GGA", "state": "relaxed", "n_ef_per_ev_cell": 6.29, "e_tot_ev_per_atom": -1.863, "lattice_angstrom": [[-2.2826, -3.5578, 2.8279], [-1.4968, -7.5137, -10.6609], [13.6697, -6.5989, 2.7316]], "species": ["Hg", "Hg", "Hg", "Hg", "Hg", "Hg", "Hg", "Hg", "Hg", "Hg", "Hg", "Hg", "Bi", "Bi", "Bi", "Bi", "Bi", "Bi", "Bi", "Bi", "Bi", "Bi", "Cs", "Cs", "Cs", "Cs", "Cs", "Cs"], "frac_coords": [[0.0000, 0.9840, 0.5000], [0.5000, 0.9924, 0.3291], [0.5000, 0.3762, 0.1946], [0.5000, 0.9924, 0.6709], [0.0000, 0.6238, 0.3054], [0.5000, 0.3762, 0.8054], [0.0000, 0.0076, 0.1709], [0.0000, 0.6238, 0.6946], [0.0000, 0.0076, 0.8291], [0.0000, 0.4930, 0.5000], [0.5000, 0.5070, 0.0000], [0.5000, 0.0160, 0.0000], [0.5000, 0.1425, 0.1728], [0.0000, 0.8575, 0.3272], [0.0000, 0.8575, 0.6728], [0.0000, 0.4995, 0.1350], [0.0000, 0.4995, 0.8650], [0.0000, 0.8907, 0.0000], [0.5000, 0.1425, 0.8272], [0.5000, 0.1093, 0.5000], [0.5000, 0.5005, 0.3650], [0.5000, 0.5005, 0.6350], [0.5000, 0.7534, 0.1529], [0.0000, 0.2466, 0.3471], [0.5000, 0.7602, 0.5000], [0.0000, 0.2398, 0.0000], [0.5000, 0.7534, 0.8471], [0.0000, 0.2466, 0.6529]]}

---

Please write out number 5 again, unchanged.
{"formula": "LiAsRuBr2", "functional": "PBE-GGA", "state": "relaxed", "relative_energy_mev_per_atom": 0.0, "n_ef_per_ev_cell": 4.83, "formation_energy_uncorrected_ev_per_atom": -0.084, "lattice_angstrom": [[5.3537, 0.0000, 0.0000], [0.0000, 5.3537, 0.0000], [0.0000, 0.0000, 4.6051]], "species": ["Ru", "Li", "Br", "Br", "As"], "frac_coords": [[0.0000, 0.0000, 0.0000], [0.5000, 0.5000, 0.5000], [0.5000, 0.0000, 0.0000], [0.0000, 0.5000, 0.0000], [0.0000, 0.0000, 0.5000]]}